PBE K4CrBr, relaxed; ΔE_f (raw) = 0.29 eV per atom; space group = F-43m, No. 216
1.0
-5.403 3.266 4.203
-6.671 1.798 -3.130
-6.235 -3.899 1.859
K Cr Br
4 1 1
direct
0.375 0.875 0.375
0.375 0.375 0.375
0.875 0.375 0.375
0.375 0.375 0.875
0.000 0.000 0.000
0.750 0.750 0.750